No. 1
Below is a geometry-optimized Na3Pa3PdS8 structure, with properties calculated at the PBE level.

Results
For the density, the calculation gives 5.2 g/cm³. The electronic total energy is -90.11 eV per cell. The size of the total moment is 2.35 μB/cell.

Cell: 7.7933 7.7933 8.0208 Å, 118.00 118.00 62.09°
Atoms (fractional coordinates):
Na: 0.0000 0.0000 0.0000
Na: 0.0000 0.5000 0.0000
Na: 0.5000 0.0000 0.0000
Pa: 0.0000 0.5000 0.5000
Pa: 0.5000 0.0000 0.5000
Pa: 0.5000 0.5000 0.5000
Pd: 0.0000 0.0000 0.5000
S: 0.2289 0.2289 0.7061
S: 0.2528 0.2528 0.2656
S: 0.2561 0.7204 0.7303
S: 0.2796 0.7439 0.2697
S: 0.7204 0.2561 0.7303
S: 0.7439 0.2796 0.2697
S: 0.7472 0.7472 0.7344
S: 0.7711 0.7711 0.2939

=====

No. 2
Below is a geometry-optimized Na2PaPdS4 structure, with properties calculated at the PBE level.

Results
For the density, the calculation gives 5.4 g/cm³. The electronic total energy is -83.65 eV per cell. The size of the total moment is 0.00 μB/cell.

Cell: 6.9631 6.9631 6.5174 Å, 90.00 90.00 90.00°
Atoms (fractional coordinates):
Na: 0.0000 0.5000 0.0000
Na: 0.0000 0.5000 0.5000
Na: 0.5000 0.0000 0.0000
Na: 0.5000 0.0000 0.5000
Pa: 0.0000 0.0000 0.0000
Pa: 0.5000 0.5000 0.5000
Pd: 0.0000 0.0000 0.5000
Pd: 0.5000 0.5000 0.0000
S: 0.1974 0.1974 0.2657
S: 0.1974 0.8026 0.7343
S: 0.3026 0.3026 0.7657
S: 0.3026 0.6974 0.2343
S: 0.6974 0.3026 0.2343
S: 0.6974 0.6974 0.7657
S: 0.8026 0.1974 0.7343
S: 0.8026 0.8026 0.2657

=====

No. 3
Below is a geometry-optimized NaPa2Pd2S6 structure, with properties calculated at the PBE level.

Results
For the density, the calculation gives 5.7 g/cm³. The electronic total energy is -68.27 eV per cell. The size of the total moment is 0.00 μB/cell.

Cell: 6.7861 6.9427 7.1823 Å, 61.39 68.46 62.93°
Atoms (fractional coordinates):
Na: 0.0000 0.0000 0.0000
Pa: 0.0096 0.3311 0.3268
Pa: 0.9904 0.6689 0.6732
Pd: 0.4497 0.7481 0.3355
Pd: 0.5503 0.2519 0.6645
S: 0.2279 0.5658 0.3245
S: 0.2349 0.9167 0.5992
S: 0.2388 0.2825 0.9534
S: 0.7612 0.7175 0.0466
S: 0.7651 0.0833 0.4008
S: 0.7721 0.4342 0.6755

=====

No. 4
Below is a geometry-optimized NaPa2PdS5 structure, with properties calculated at the PBE level.

Results
For the density, the calculation gives 6.3 g/cm³. The electronic total energy is -116.07 eV per cell. The size of the total moment is 1.90 μB/cell.

Cell: 8.7118 8.7118 8.7118 Å, 128.18 128.18 76.34°
Atoms (fractional coordinates):
Na: 0.2500 0.2500 0.0000
Na: 0.7500 0.7500 0.0000
Pa: 0.1585 0.6585 0.8169
Pa: 0.3415 0.1585 0.5000
Pa: 0.6585 0.8415 0.5000
Pa: 0.8415 0.3415 0.1830
Pd: 0.2500 0.7500 0.5000
Pd: 0.7500 0.2500 0.5000
S: 0.0000 0.0000 0.0000
S: 0.0284 0.2291 0.5000
S: 0.2291 0.7291 0.2007
S: 0.2709 0.4716 0.5000
S: 0.4716 0.9716 0.2007
S: 0.5000 0.5000 0.0000
S: 0.5284 0.0284 0.7993
S: 0.7291 0.5284 0.5000
S: 0.7709 0.2709 0.7993
S: 0.9716 0.7709 0.5000